The following is a DFT calculation (PBE-GGA) of an optimized crystal structure of Nb2Al2NiPd.

The structure in CIF format:
```
data_Nb2Al2NiPd
_cell_length_a 7.256
_cell_length_b 4.176
_cell_length_c 13.866
_cell_angle_alpha 90.00
_cell_angle_beta 99.80
_cell_angle_gamma 90.00
_space_group_name_H-M_alt 'P 1 m 1'
_space_group_IT_number 6
_space_group_name_Hall 'P -2y'
loop_
_atom_site_label
_atom_site_type_symbol
_atom_site_fract_x
_atom_site_fract_y
_atom_site_fract_z
Nb1 Nb 0.000 0.000 0.000
Nb2 Nb 0.010 0.500 0.493
Nb3 Nb 0.235 0.000 0.736
Nb4 Nb 0.248 0.500 0.242
Nb5 Nb 0.481 0.000 0.484
Nb6 Nb 0.500 0.500 0.000
Nb7 Nb 0.744 0.000 0.236
Nb8 Nb 0.759 0.500 0.740
Al1 Al 0.122 0.000 0.362
Al2 Al 0.123 0.500 0.863
Al3 Al 0.368 0.500 0.613
Al4 Al 0.372 0.000 0.123
Al5 Al 0.616 0.500 0.363
Al6 Al 0.620 0.000 0.865
Al7 Al 0.875 0.000 0.614
Al8 Al 0.876 0.500 0.123
Ni1 Ni 0.060 0.000 0.181
Ni2 Ni 0.060 0.500 0.677
Ni3 Ni 0.306 0.500 0.426
Ni4 Ni 0.559 0.500 0.180
Pd1 Pd 0.309 0.000 0.931
Pd2 Pd 0.559 0.000 0.676
Pd3 Pd 0.809 0.000 0.427
Pd4 Pd 0.812 0.500 0.932
```

The following is a DFT calculation (PBE-GGA) of an optimized crystal structure of Nb2Al2NiPt.

The structure in CIF format:
```
data_Nb2Al2NiPt
_cell_length_a 7.271
_cell_length_b 4.188
_cell_length_c 13.891
_cell_angle_alpha 90.00
_cell_angle_beta 99.84
_cell_angle_gamma 90.00
_space_group_name_H-M_alt 'P 1 m 1'
_space_group_IT_number 6
_space_group_name_Hall 'P -2y'
loop_
_atom_site_label
_atom_site_type_symbol
_atom_site_fract_x
_atom_site_fract_y
_atom_site_fract_z
Nb1 Nb 0.000 0.000 0.000
Nb2 Nb 0.009 0.500 0.493
Nb3 Nb 0.235 0.000 0.737
Nb4 Nb 0.248 0.500 0.242
Nb5 Nb 0.482 0.000 0.484
Nb6 Nb 0.500 0.500 0.000
Nb7 Nb 0.744 0.000 0.235
Nb8 Nb 0.759 0.500 0.739
Al1 Al 0.123 0.000 0.362
Al2 Al 0.123 0.500 0.863
Al3 Al 0.367 0.500 0.613
Al4 Al 0.372 0.000 0.123
Al5 Al 0.615 0.500 0.362
Al6 Al 0.620 0.000 0.865
Al7 Al 0.876 0.000 0.615
Al8 Al 0.876 0.500 0.124
Ni1 Ni 0.060 0.500 0.677
Ni2 Ni 0.061 0.000 0.181
Ni3 Ni 0.307 0.500 0.426
Ni4 Ni 0.559 0.500 0.180
Pt1 Pt 0.309 0.000 0.931
Pt2 Pt 0.558 0.000 0.676
Pt3 Pt 0.809 0.000 0.427
Pt4 Pt 0.812 0.500 0.932
```

Number 1: total moment 0.00 μB/atom, E -161.368 eV per cell. Number 2: total moment 0.00 μB/atom, E -169.179 eV per cell.